Run a
Th2SnH | the Alexandria database | PBE | optimized geometry; space group = Pna2_1, No. 33; total magnetization = 0.00 μB/atom
1.0
5.445 0.000 0.000
0.000 6.709 0.000
0.000 0.000 10.217
H Th Sn
4 8 4
Direct
0.986 0.079 0.882
0.486 0.421 0.382
0.486 0.921 0.118
0.986 0.579 0.618
0.589 0.100 0.304
0.589 0.600 0.196
0.089 0.345 0.455
0.089 0.845 0.045
0.589 0.655 0.545
0.589 0.155 0.955
0.089 0.400 0.804
0.089 0.900 0.696
0.086 0.826 0.371
0.586 0.174 0.629
0.086 0.326 0.129
0.586 0.674 0.871

Run b
Th2SnH | the Alexandria database | PBE | optimized geometry; space group = R-3m, No. 166; total magnetization = 0.00 μB/atom
1.0
-0.576 0.379 -3.397
2.473 -0.834 -2.280
-2.797 -9.166 -2.316
H Th Sn
1 2 1
Direct
0.500 0.500 0.500
0.111 0.111 0.666
0.889 0.889 0.334
0.000 0.000 0.000

Which structure is the most stable? The one labeled run a.

Run a
Th4Sn2H | the Alexandria database | PBE | optimized geometry; space group = P2_1/m, No. 11; total magnetization = 0.00 μB/atom
1.0
6.018 0.000 -0.703
0.000 6.685 0.000
-3.059 0.000 9.700
Sn Th H
4 8 2
Direct
0.697 0.750 0.040
0.303 0.250 0.960
0.827 0.750 0.586
0.173 0.250 0.414
0.437 0.992 0.724
0.131 0.750 0.359
0.437 0.508 0.724
0.563 0.492 0.276
0.563 0.008 0.276
0.115 0.750 0.934
0.869 0.250 0.641
0.885 0.250 0.066
0.718 0.250 0.815
0.282 0.750 0.185

Run b
Th4Sn2H | the Alexandria database | PBE | optimized geometry; space group = I4/mmm, No. 139; total magnetization = 0.00 μB/atom
1.0
4.644 0.000 0.000
0.000 4.644 0.000
2.322 2.322 8.820
Th Sn H
4 2 1
Direct
0.500 0.000 0.000
0.823 0.823 0.354
0.177 0.177 0.646
0.000 0.500 0.000
0.362 0.362 0.277
0.638 0.638 0.723
0.000 0.000 0.000

Which structure is the most stable? The one labeled run b.

Run a
Th3SnH3 | the Alexandria database | PBE | optimized geometry; space group = R-3, No. 148; total magnetization = 0.02 μB/atom
1.0
6.954 0.000 0.000
3.477 6.023 0.000
3.477 2.008 7.121
Th H Sn
6 6 2
Direct
0.411 0.097 0.715
0.903 0.222 0.285
0.589 0.903 0.285
0.097 0.778 0.715
0.778 0.411 0.715
0.222 0.589 0.285
0.784 0.127 0.615
0.873 0.526 0.385
0.526 0.216 0.385
0.127 0.474 0.615
0.216 0.873 0.385
0.474 0.784 0.615
0.667 0.667 0.999
0.333 0.333 0.001

Run b
Th3SnH3 | the Alexandria database | PBE | optimized geometry; space group = Pm-3n, No. 223; total magnetization = 0.12 μB/atom
1.0
6.495 0.000 0.000
0.000 6.495 0.000
0.000 0.000 6.495
Th Sn H
6 2 6
Direct
0.750 0.500 0.000
0.500 0.000 0.250
0.000 0.250 0.500
0.000 0.750 0.500
0.500 0.000 0.750
0.250 0.500 0.000
0.500 0.500 0.500
0.000 0.000 0.000
0.000 0.500 0.750
0.500 0.250 0.000
0.750 0.000 0.500
0.250 0.000 0.500
0.000 0.500 0.250
0.500 0.750 0.000

Which structure is the most stable? The one labeled run b.

Run a
TiSnH | the Alexandria database | PBE | optimized geometry; space group = P4/nmm, No. 129; total magnetization = 0.00 μB/atom
1.0
3.645 0.000 -0.001
0.000 3.646 0.000
0.001 0.000 6.202
Sn Ti H
2 2 2
Direct
0.750 0.250 0.865
0.250 0.750 0.135
0.250 0.750 0.624
0.750 0.250 0.376
0.750 0.750 0.500
0.250 0.250 0.500

Run b
TiSnH | the Alexandria database | PBE | optimized geometry; space group = P-6m2, No. 187; total magnetization = 0.00 μB/atom
1.0
-2.656 3.302 -1.395
-2.165 -0.743 2.364
2.396 2.177 0.589
H Ti Sn
1 1 1
Direct
0.166 0.000 0.000
0.167 0.667 0.333
0.667 0.333 0.667

Which structure is the most stable? The one labeled run b.

Run a
TiSn2H | the Alexandria database | PBE | optimized geometry; space group = I-42d, No. 122; total magnetization = 0.42 μB/atom
1.0
-3.812 1.094 -3.640
-3.793 -0.763 3.743
-3.531 5.937 1.502
Sn Ti H
4 2 2
Direct
0.261 0.625 0.250
0.489 0.125 0.250
0.375 0.511 0.750
0.875 0.739 0.750
0.000 0.000 0.000
0.750 0.250 0.500
0.250 0.750 0.500
0.500 0.500 0.000

Run b
TiSn2H | the Alexandria database | PBE | optimized geometry; space group = Fm-3m, No. 225; total magnetization = 0.21 μB/atom
1.0
3.286 -3.265 1.078
-0.632 -2.863 3.745
-0.927 -4.617 -0.666
H Sn Ti
1 2 1
Direct
0.000 0.000 0.000
0.250 0.250 0.250
0.750 0.750 0.750
0.500 0.500 0.500

Run c
TiSn2H | the Alexandria database | PBE | optimized geometry; space group = Cm, No. 8; total magnetization = 0.00 μB/atom
1.0
-2.054 1.435 -2.036
2.313 -2.091 -1.256
-4.913 -4.922 4.059
H Ti Sn
1 1 2
Direct
0.714 0.616 0.312
0.042 0.271 0.313
0.676 0.237 0.616
0.067 0.626 0.009

Which structure is the most stable? The one labeled run c.

Run a
TiSnH2 | the Alexandria database | PBE | optimized geometry; space group = P2_1/m, No. 11; total magnetization = 0.00 μB/atom
1.0
3.557 0.000 0.000
0.000 3.482 -0.306
0.000 -1.073 7.846
Sn H Ti
2 4 2
Direct
0.250 0.588 0.178
0.750 0.412 0.822
0.750 0.090 0.172
0.250 0.910 0.828
0.250 0.247 0.495
0.750 0.753 0.505
0.750 0.203 0.406
0.250 0.797 0.594

Run b
TiSnH2 | the Alexandria database | PBE | optimized geometry; space group = Fm-3m, No. 225; total magnetization = 0.00 μB/atom
1.0
3.341 -2.248 0.021
-0.267 -4.001 0.373
0.848 -2.376 -3.139
Ti H Sn
1 2 1
Direct
0.000 0.000 0.000
0.750 0.750 0.750
0.250 0.250 0.250
0.500 0.500 0.500

Which structure is the most stable? The one labeled run a.

Run a
Ti6Sn2H | the Alexandria database | PBE | optimized geometry; space group = Fm-3m, No. 225; total magnetization = 0.00 μB/atom
1.0
-1.240 1.147 5.641
-5.606 0.288 1.782
-2.216 -4.230 3.447
Ti Sn H
6 2 1
Direct
0.752 0.248 0.752
0.752 0.752 0.249
0.248 0.752 0.752
0.248 0.248 0.751
0.752 0.248 0.248
0.248 0.752 0.248
0.750 0.750 0.750
0.250 0.250 0.250
0.500 0.500 0.500

Run b
Ti6Sn2H | the Alexandria database | PBE | optimized geometry; space group = Amm2, No. 38; total magnetization = 0.00 μB/atom
1.0
-2.728 0.614 1.449
3.312 -0.868 6.607
-0.193 6.715 -3.212
Ti Sn H
6 2 1
Direct
0.500 0.377 0.377
0.000 0.782 0.782
0.000 0.999 0.218
0.500 0.000 0.623
0.000 0.218 0.000
0.500 0.621 0.000
0.000 0.333 0.666
0.000 0.667 0.334
0.500 0.003 0.000

Which structure is the most stable? The one labeled run a.

Run a
TiSn3H | the Alexandria database | PBE | optimized geometry; space group = Pm-3m, No. 221; total magnetization = 0.00 μB/atom
1.0
4.598 0.000 0.000
0.000 4.598 0.000
0.000 0.000 4.598
Sn Ti H
3 1 1
Direct
0.000 0.500 0.000
0.000 0.000 0.500
0.500 0.000 0.000
0.500 0.500 0.500
0.000 0.000 0.000

Run b
TiSn3H | the Alexandria database | PBE | optimized geometry; space group = Pm-3m, No. 221; total magnetization = 0.21 μB/atom
1.0
5.294 0.000 0.000
0.000 5.294 0.000
0.000 0.000 5.294
Ti Sn H
1 3 1
Direct
0.000 0.000 0.000
0.500 0.000 0.000
0.000 0.000 0.500
0.000 0.500 0.000
0.500 0.500 0.500

Which structure is the most stable? The one labeled run a.

Run a
Ti2SnH | the Alexandria database | PBE | optimized geometry; space group = I4_1/amd, No. 141; total magnetization = 0.00 μB/atom
1.0
-0.240 2.915 4.373
-5.255 -0.206 -0.151
-2.671 -2.484 4.673
H Ti Sn
2 4 2
Direct
0.500 0.500 0.000
0.250 0.750 0.500
0.375 0.625 0.750
0.875 0.625 0.750
0.375 0.625 0.250
0.375 0.125 0.250
0.750 0.250 0.500
0.000 0.000 0.000

Run b
Ti2SnH | the Alexandria database | PBE | optimized geometry; space group = Pnma, No. 62; total magnetization = 0.00 μB/atom
1.0
-1.783 -1.412 3.524
5.196 0.488 2.825
-2.086 8.533 2.362
Sn H Ti
4 4 8
Direct
0.250 0.857 0.115
0.250 0.357 0.385
0.750 0.143 0.885
0.750 0.643 0.615
0.250 0.075 0.616
0.750 0.925 0.384
0.750 0.425 0.116
0.250 0.575 0.884
0.750 0.632 0.277
0.750 0.132 0.223
0.750 0.133 0.559
0.750 0.633 0.941
0.250 0.867 0.441
0.250 0.868 0.777
0.250 0.368 0.723
0.250 0.367 0.059

Run c
Ti2SnH | the Alexandria database | PBE | optimized geometry; space group = Fm-3m, No. 225; total magnetization = 0.00 μB/atom
1.0
-0.622 -4.323 -1.120
-4.102 -1.456 -1.176
-0.853 -1.119 -4.284
Sn Ti H
1 2 1
Direct
0.500 0.500 0.500
0.750 0.750 0.750
0.250 0.250 0.250
0.000 0.000 0.000

Which structure is the most stable? The one labeled run b.

Run a
Ti2SnH | the Alexandria database | PBE | optimized geometry; space group = Cmmm, No. 65; total magnetization = 0.00 μB/atom
1.0
-3.024 1.049 2.188
-2.575 -1.412 -2.882
1.317 -5.713 4.560
Ti Sn H
4 2 2
Direct
0.000 0.500 0.000
0.500 0.000 0.000
0.500 0.321 0.642
0.500 0.679 0.358
0.000 0.847 0.694
0.000 0.153 0.306
0.500 0.448 0.895
0.500 0.552 0.105

Run b
Ti2SnH | the Alexandria database | PBE | optimized geometry; space group = R-3m, No. 166; total magnetization = 0.00 μB/atom
1.0
3.131 0.000 0.000
1.566 2.712 0.000
1.566 0.904 6.897
H Sn Ti
1 1 2
Direct
0.000 0.000 0.000
0.500 0.500 0.500
0.720 0.720 0.839
0.280 0.280 0.161

Which structure is the most stable? The one labeled run a.

Run a
Ti7Sn3H2 | the Alexandria database | PBE | optimized geometry; space group = I4/mmm, No. 139; total magnetization = 0.00 μB/atom
1.0
-0.343 -1.887 -3.496
3.175 -2.240 0.897
-8.533 -6.001 6.350
Sn Ti H
3 7 2
Direct
0.682 0.682 0.363
0.318 0.318 0.637
0.500 0.500 0.000
0.093 0.593 0.186
0.800 0.800 0.599
0.407 0.907 0.814
0.000 0.000 0.000
0.200 0.200 0.401
0.907 0.407 0.814
0.593 0.093 0.186
0.917 0.917 0.835
0.083 0.083 0.165

Run b
Ti7Sn3H2 | the Alexandria database | PBE | optimized geometry; space group = Cmmm, No. 65; total magnetization = 0.00 μB/atom
1.0
-2.913 1.641 2.248
-2.650 -0.317 -3.201
-1.630 -9.782 5.030
Ti H Sn
7 2 3
Direct
0.500 0.903 0.805
0.000 0.597 0.195
0.000 0.000 0.000
0.000 0.798 0.596
0.000 0.403 0.805
0.500 0.097 0.195
0.000 0.202 0.404
0.000 0.904 0.809
0.000 0.096 0.191
0.500 0.692 0.384
0.500 0.500 0.000
0.500 0.308 0.616

Which structure is the most stable? The one labeled run b.